Entry 1:
An optimized crystal structure of CrHBr2. Source: the Alexandria database, functional PBE.

```
CrHBr2
1.0
2.124 1.226 6.350
-2.124 1.226 6.350
0.000 -2.453 6.350
Cr H Br
1 1 2
direct
0.000 0.000 0.000 Cr
0.500 0.500 0.500 H
0.409 0.409 0.409 Br
0.591 0.591 0.591 Br
```

N(E_F) (states/eV/f.u.): 0.39


Entry 2:
An optimized crystal structure of CrHBr3. Source: the Alexandria database, functional PBE.

```
CrHBr3
1.0
5.077 0.000 0.000
0.000 5.077 0.000
0.000 0.000 5.077
Cr H Br
1 1 3
direct
0.000 0.000 0.000 Cr
0.500 0.500 0.500 H
0.000 0.000 0.500 Br
0.000 0.500 0.000 Br
0.500 0.000 0.000 Br
```

N(E_F) (states/eV/f.u.): 7.13
Distance to the lowest polymorph of the same formula (meV/atom): 487


Entry 3:
An optimized crystal structure of Cr2HBr. Source: the Alexandria database, functional PBE.

```
Cr2HBr
1.0
0.000 2.917 2.917
2.917 0.000 2.917
2.917 2.917 0.000
Cr H Br
2 1 1
direct
0.250 0.250 0.250 Cr
0.750 0.750 0.750 Cr
0.000 0.000 0.000 H
0.500 0.500 0.500 Br
```

N(E_F) (states/eV/f.u.): 2.74
Distance to the lowest polymorph of the same formula (meV/atom): 438


Entry 4:
An optimized crystal structure of CrH2Br6. Source: the Alexandria database, functional PBE.

```
CrH2Br6
1.0
7.693 -6.670 0.000
7.693 6.670 0.000
-0.164 0.000 6.123
Cr H Br
2 4 12
direct
0.083 0.917 0.750 Cr
0.917 0.083 0.250 Cr
0.349 0.392 0.237 H
0.392 0.349 0.737 H
0.608 0.651 0.263 H
0.651 0.608 0.763 H
0.029 0.152 0.926 Br
0.101 0.701 0.596 Br
0.152 0.029 0.426 Br
0.279 0.460 0.052 Br
0.299 0.899 0.904 Br
0.460 0.279 0.552 Br
0.540 0.721 0.448 Br
0.701 0.101 0.096 Br
0.721 0.540 0.948 Br
0.848 0.971 0.574 Br
0.899 0.299 0.404 Br
0.971 0.848 0.074 Br
```

N(E_F) (states/eV/f.u.): 6.17


Entry 5:
An optimized crystal structure of CrHBr3. Source: the Alexandria database, functional PBE.

```
CrHBr3
1.0
6.813 -1.787 0.000
6.813 1.787 0.000
-1.573 0.000 11.110
Cr H Br
2 2 6
direct
0.250 0.250 0.170 Cr
0.750 0.750 0.830 Cr
0.136 0.136 0.605 H
0.864 0.864 0.395 H
0.145 0.145 0.911 Br
0.364 0.364 0.393 Br
0.366 0.366 0.779 Br
0.634 0.634 0.221 Br
0.636 0.636 0.607 Br
0.855 0.855 0.089 Br
```

N(E_F) (states/eV/f.u.): 2.80
Distance to the lowest polymorph of the same formula (meV/atom): 0


Entry 6:
An optimized crystal structure of CrHBr2. Source: the Alexandria database, functional PBE.

```
CrHBr2
1.0
1.824 -9.247 0.000
1.824 9.247 0.000
0.000 0.000 6.469
Cr H Br
2 2 4
direct
0.191 0.809 0.750 Cr
0.809 0.191 0.250 Cr
0.040 0.960 0.250 H
0.960 0.040 0.750 H
0.212 0.788 0.250 Br
0.402 0.598 0.250 Br
0.598 0.402 0.750 Br
0.788 0.212 0.750 Br
```


Entry 7:
An optimized crystal structure of CrHBr3. Source: the Alexandria database, functional PBE.

```
CrHBr3
1.0
4.717 0.000 0.000
0.000 4.717 0.000
0.000 0.000 4.717
Cr H Br
1 1 3
direct
0.000 0.000 0.000 Cr
0.500 0.500 0.500 H
0.000 0.500 0.500 Br
0.500 0.000 0.500 Br
0.500 0.500 0.000 Br
```

N(E_F) (states/eV/f.u.): 6.68
Distance to the lowest polymorph of the same formula (meV/atom): 964


Entry 8:
An optimized crystal structure of CrHBr2. Source: the Alexandria database, functional PBE.

```
CrHBr2
1.0
-2.828 2.828 5.519
2.828 -2.828 5.519
2.828 2.828 -5.519
Cr H Br
2 2 4
direct
0.000 0.000 0.000 Cr
0.750 0.250 0.500 Cr
0.250 0.750 0.500 H
0.500 0.500 0.000 H
0.170 0.625 0.045 Br
0.375 0.420 0.545 Br
0.580 0.125 0.955 Br
0.875 0.830 0.455 Br
```

N(E_F) (states/eV/f.u.): 1.31


no.,total energy (eV per formula unit)
1,-16.27
2,-17.44
3,-20.15
4,-29.96
5,-19.87
6,-15.93
7,-15.05
8,-15.46